The following is a PBE calculation of LaTl2InSi after structural relaxation, from Alexandria via LeMat-Bulk.

The structure belongs to space group P4/mmm (No. 123); the cell edges are 5.604, 5.604 and 5.148 Å and the angles 90.00°, 90.00° and 90.00°. Symmetry generates all atoms from La at (0.000, 0.000, 0.000), Tl at (0.000, 0.500, 0.500), In at (0.500, 0.500, 0.500) and Si at (0.500, 0.500, 0.000).

For the energy, the calculation gives -3.1875 eV per atom. The value obtained for the magnetization is 0.00 μB/atom.

=====

The following is a PBE calculation of NaBe3Hg after structural relaxation, from Alexandria via LeMat-Bulk.

The structure belongs to space group Pm-3m (No. 221); the cell edges are 4.534, 4.534 and 4.534 Å and the angles 90.00°, 90.00° and 90.00°. Symmetry generates all atoms from Na at (0.000, 0.000, 0.000), Be at (0.000, 0.500, 0.500) and Hg at (0.500, 0.500, 0.500).

The value obtained for the energy of formation from the pure elements is 0.73 eV per atom. The polymorph energy (0 for the lowest one) comes out at 0 meV/atom. The value obtained for the magnetization is 0.00 μB/atom.

=====

The following is a PBE calculation of NaCuB2S4 after structural relaxation, from Alexandria via LeMat-Bulk.

The structure belongs to space group I222 (No. 23); the cell edges are 4.461, 7.489 and 12.072 Å and the angles 90.00°, 90.00° and 90.00°. Symmetry generates all atoms from Na at (0.000, 0.000, 0.000), Cu at (0.000, 0.500, 0.000), B at (0.000, 0.198, 0.500) and S at (0.225, 0.208, 0.387).

For the energy, the calculation gives -4.8024 eV per atom. The value obtained for the magnetization is 0.00 μB/atom.

=====

The following is a PBE calculation of Tb4Pm2Er after structural relaxation, from Alexandria via LeMat-Bulk.

The structure belongs to space group Cmce (No. 64); the cell edges are 3.747, 12.695 and 19.571 Å and the angles 90.00°, 90.00° and 90.00°. Symmetry generates all atoms from Tb at (0.000, 0.108, 0.178), Tb at (0.000, 0.234, 0.434), Pm at (0.000, 0.109, 0.669) and Er at (0.000, 0.000, 0.000).

The value obtained for the energy of formation from the pure elements is 0.16 eV per atom. The polymorph energy (0 for the lowest one) comes out at 23 meV/atom. The value obtained for the magnetization is 0.00 μB/atom.

=====

The following is a PBE calculation of La4Mn after structural relaxation, from Alexandria via LeMat-Bulk.

The structure belongs to space group Pm-3m (No. 221); the cell edges are 5.461, 5.461 and 5.461 Å and the angles 90.00°, 90.00° and 90.00°. Symmetry generates all atoms from La at (0.000, 0.000, 0.000), La at (0.000, 0.500, 0.500) and Mn at (0.500, 0.500, 0.500).

The value obtained for the energy of formation from the pure elements is 0.21 eV per atom. The value obtained for the magnetization is 0.03 μB/atom.

=====

The following is a PBE calculation of Zr8In2Bi after structural relaxation, from Alexandria via LeMat-Bulk.

The structure belongs to space group C2/m (No. 12); the cell edges are 7.995, 13.798 and 5.384 Å and the angles 90.00°, 117.68° and 90.00°. Symmetry generates all atoms from Zr at (0.000, 0.220, 0.000), Zr at (0.088, 0.500, 0.793), Zr at (0.207, 0.112, 0.654), In at (0.000, 0.306, 0.500) and Bi at (0.000, 0.000, 0.000).

The value obtained for the energy of formation from the pure elements is -0.03 eV per atom. The value obtained for the magnetization is 0.00 μB/atom.

=====

The following is a PBE calculation of PaRh4Au after structural relaxation, from Alexandria via LeMat-Bulk.

The structure belongs to space group F-43m (No. 216); the cell edges are 7.424, 7.424 and 7.424 Å and the angles 90.00°, 90.00° and 90.00°. Symmetry generates all atoms from Pa at (0.000, 0.000, 0.000), Rh at (0.124, 0.124, 0.376) and Au at (0.250, 0.250, 0.750).

The value obtained for the energy of formation from the pure elements is -0.43 eV per atom. The value obtained for the magnetization is 0.00 μB/atom.

=====

The following is a PBE calculation of SrEuCdGe after structural relaxation, from Alexandria via LeMat-Bulk.

The structure belongs to space group F-43m (No. 216); the cell edges are 7.755, 7.755 and 7.755 Å and the angles 90.00°, 90.00° and 90.00°. Symmetry generates all atoms from Sr at (0.000, 0.000, 0.000), Eu at (0.000, 0.000, 0.500), Cd at (0.250, 0.250, 0.750) and Ge at (0.250, 0.250, 0.250).

The value obtained for the energy of formation from the pure elements is -0.47 eV per atom. The value obtained for the magnetization is 1.79 μB/atom.

=====

> magnetization of number 4 (Tb4Pm2Er)?

0.00 μB/atom